*w*
A relaxed structure of FePCl2O. Source: Alexandria, functional PBE+U.

Unit cell a=4.7196 b=4.7196 c=4.9669 alpha=90.00 beta=90.00 gamma=90.00
With the nearest neighbours (Å) after each atom.
Sites, in units of the cell vectors:
P: 0.0000 0.0000 0.5000  2 Fe 2.48
Fe: 0.0000 0.0000 0.0000  4 Cl 2.36, 2 P 2.48
O: 0.5000 0.5000 0.5000  4 P 3.34, 8 Cl 3.43
Cl: 0.0000 0.5000 0.0000  2 Fe 2.36
Cl: 0.5000 0.0000 0.0000  2 Fe 2.36

Computed properties:
ρ: 2.61 g cm⁻³
Space-group type: No. 123
Calculated volume: 110.6 Å³/cell



*x*
A relaxed structure of FePCl2O. Source: Alexandria, functional PBE+U.

Unit cell a=5.5417 b=5.5417 c=3.3323 alpha=90.00 beta=90.00 gamma=90.00
With the nearest neighbours (Å) after each atom.
Sites, in units of the cell vectors:
P: 0.0000 0.0000 0.5000  2 O 1.67
Fe: 0.5000 0.5000 0.5000  8 Cl 3.23, 2 Fe 3.33
O: 0.0000 0.0000 0.0000  2 P 1.67
Cl: 0.0000 0.5000 0.0000  2 O 2.77
Cl: 0.5000 0.0000 0.0000  2 O 2.77

Computed properties:
ρ: 2.82 g cm⁻³
Space-group type: No. 123
Calculated volume: 102.3 Å³/cell



Question: of the structures shown, which is the least stable? Reply: *w*.